First-principles (PBE) data for a relaxed structure of Cs3AcTb2S6, as listed in Alexandria via LeMat-Bulk.

- magnetic moment (μB/f.u.) = 0.0
- formation energy without anion corrections (meV/atom) = -1836

abc: 7.358 7.358 8.455
angles: 98.35 98.35 119.99
Fractional positions:
S  0.586  0.938  0.815
S  0.710  0.710  0.184
S  0.414  0.062  0.185
S  0.290  0.290  0.816
S  0.062  0.414  0.185
S  0.938  0.586  0.815
Cs  0.835  0.165  0.500
Cs  0.500  0.500  0.500
Cs  0.165  0.835  0.500
Tb  0.667  0.333  0.000
Tb  0.333  0.667  0.000
Ac  0.000  0.000  0.000